Entry 1:
# TmTlCdHg (PBE-GGA, optimized geometry)
# D(E_F): 0.77 states/eV/f.u.
# Distance to the lowest polymorph of the same formula: 15.8 meV per atom
data_TmTlCdHg
_symmetry_space_group_name_H-M 'F -4 3 m'
_symmetry_Int_Tables_number 216
_symmetry_space_group_name_Hall 'F -4 2 3'
_cell_length_a 7.2960
_cell_length_b 7.2960
_cell_length_c 7.2960
_cell_angle_alpha 90.00
_cell_angle_beta 90.00
_cell_angle_gamma 90.00
loop_
_atom_site_label
_atom_site_fract_x
_atom_site_fract_y
_atom_site_fract_z
_atom_site_occupancy
Tm1 0.0000 0.0000 0.0000 1
Tl1 0.2500 0.2500 0.7500 1
Cd1 0.0000 0.0000 0.5000 1
Hg1 0.2500 0.2500 0.2500 1

=====

Entry 2:
# Pr6Nd3Tm2Mg (PBE-GGA, optimized geometry)
# Electronic total energy: -4.429 eV/atom
# D(E_F): 14.37 states/eV/f.u.
data_Pr6Nd3Tm2Mg
_symmetry_space_group_name_H-M 'C 1 2/m 1'
_symmetry_Int_Tables_number 12
_cell_length_a 6.3301
_cell_length_b 10.9810
_cell_length_c 11.9198
_cell_angle_alpha 90.00
_cell_angle_beta 100.29
_cell_angle_gamma 90.00
loop_
_symmetry_equiv_pos_as_xyz
'x,y,z'
'-x,-y,-z'
'-x,y,-z'
'x,-y,z'
'x+1/2,y+1/2,z'
'-x+1/2,-y+1/2,-z'
'-x+1/2,y+1/2,-z'
'x+1/2,-y+1/2,z'
loop_
_atom_site_label
_atom_site_fract_x
_atom_site_fract_y
_atom_site_fract_z
_atom_site_occupancy
Pr1 0.2458 0.1662 0.2425 1
Pr2 0.2477 0.5000 0.2443 1
Nd1 0.0000 0.1671 0.5000 1
Nd2 0.0000 0.5000 0.5000 1
Tm1 0.0000 0.3338 0.0000 1
Mg1 0.0000 0.0000 0.0000 1